[1]
# Nd8Cu2Pd | Alexandria | PBE-GGA | optimized geometry
data_Nd8Cu2Pd
_chemical_formula_sum 'Nd16 Cu4 Pd2'
_cell_length_a 8.703
_cell_length_b 13.287
_cell_length_c 6.085
_cell_angle_alpha 90.00
_cell_angle_beta 110.05
_cell_angle_gamma 90.00
_space_group_name_H-M_alt 'C 1 m 1'
_space_group_IT_number 8
loop_
_space_group_symop_operation_xyz
'x,y,z'
'x,-y,z'
'x+1/2,y+1/2,z'
'x+1/2,-y+1/2,z'
loop_
_atom_site_label
_atom_site_fract_x
_atom_site_fract_y
_atom_site_fract_z
Nd1 0.000 0.000 0.000
Nd2 0.088 0.371 0.797
Nd3 0.150 0.129 0.564
Nd4 0.243 0.500 0.378
Nd5 0.366 0.207 0.184
Cu1 0.372 0.306 0.691
Pd1 0.381 0.000 0.370
# E_tot, eV/atom: -4.74
# ΔE to the lowest computed polymorph, eV/atom: 0.106
# ΔH_f (0 K), eV/atom: -0.06

=====

[2]
# CeIn2GaBr6 | Alexandria | PBE-GGA | optimized geometry
data_CeIn2GaBr6
_chemical_formula_sum 'Ce2 In4 Ga2 Br12'
_cell_length_a 7.751
_cell_length_b 8.446
_cell_length_c 13.318
_cell_angle_alpha 90.00
_cell_angle_beta 122.37
_cell_angle_gamma 90.00
_space_group_name_H-M_alt 'P 1 21/c 1'
_space_group_IT_number 14
loop_
_space_group_symop_operation_xyz
'x,y,z'
'-x,-y,-z'
'-x,y+1/2,-z+1/2'
'x,-y+1/2,z+1/2'
loop_
_atom_site_label
_atom_site_fract_x
_atom_site_fract_y
_atom_site_fract_z
Ce1 0.000 0.000 0.000
In1 0.299 0.084 0.771
Ga1 0.500 0.000 0.500
Br1 0.108 0.050 0.245
Br2 0.247 0.711 0.073
Br3 0.362 0.176 0.048
# E_tot, eV/atom: -3.54
# ΔE_f (raw), eV per atom: -1.097

=====

[3]
# HfFe2Pt | Alexandria | PBE-GGA | optimized geometry
data_HfFe2Pt
_chemical_formula_sum 'Hf4 Fe8 Pt4'
_cell_length_a 3.736
_cell_length_b 3.736
_cell_length_c 18.856
_cell_angle_alpha 90.00
_cell_angle_beta 90.00
_cell_angle_gamma 90.00
_space_group_name_H-M_alt 'I -4 2 d'
_space_group_IT_number 122
_space_group_name_Hall 'I -4 2bw'
loop_
_atom_site_label
_atom_site_fract_x
_atom_site_fract_y
_atom_site_fract_z
Hf1 0.000 0.000 0.000
Fe1 0.236 0.250 0.625
Pt1 0.000 0.000 0.500
# E_tot, eV/atom: -8.22
# ΔH_f (0 K), eV/atom: 0.01

=====

[4]
# SnMo2H2 | Alexandria | PBE-GGA | optimized geometry
data_SnMo2H2
_chemical_formula_sum 'Sn2 Mo4 H4'
_cell_length_a 3.236
_cell_length_b 3.236
_cell_length_c 10.987
_cell_angle_alpha 90.00
_cell_angle_beta 90.00
_cell_angle_gamma 90.00
_space_group_name_H-M_alt 'I 4/m m m'
_space_group_IT_number 139
_space_group_name_Hall '-I 4 2'
loop_
_atom_site_label
_atom_site_fract_x
_atom_site_fract_y
_atom_site_fract_z
Sn1 0.000 0.000 0.000
Mo1 0.000 0.000 0.340
H1 0.000 0.500 0.250
# E_tot, eV/atom: -6.38

=====

[5]
# MgBe2Al | Alexandria | PBE-GGA | optimized geometry
data_MgBe2Al
_chemical_formula_sum 'Mg2 Be4 Al2'
_cell_length_a 3.539
_cell_length_b 4.223
_cell_length_c 7.629
_cell_angle_alpha 90.00
_cell_angle_beta 90.00
_cell_angle_gamma 90.00
_space_group_name_H-M_alt 'P m m 2'
_space_group_IT_number 25
loop_
_space_group_symop_operation_xyz
'x,y,z'
'-x,-y,z'
'-x,y,z'
'x,-y,z'
loop_
_atom_site_label
_atom_site_fract_x
_atom_site_fract_y
_atom_site_fract_z
Mg1 0.000 0.000 0.000
Mg2 0.000 0.000 0.383
Be1 0.000 0.257 0.704
Be2 0.500 0.000 0.713
Be3 0.500 0.500 0.842
Al1 0.500 0.500 0.178
Al2 0.500 0.500 0.531
# E_tot, eV/atom: -3.11
# ΔE to the lowest computed polymorph, eV/atom: 0.038
# ΔH_f (0 K), eV/atom: 0.09

=====

[6]
# Hg3SI | Alexandria | PBE-GGA | optimized geometry
data_Hg3SI
_chemical_formula_sum 'Hg3 S1 I1'
_cell_length_a 5.926
_cell_length_b 5.926
_cell_length_c 5.926
_cell_angle_alpha 90.00
_cell_angle_beta 90.00
_cell_angle_gamma 90.00
_space_group_name_H-M_alt 'P m -3 m'
_space_group_IT_number 221
_space_group_name_Hall '-P 4 2 3'
loop_
_atom_site_label
_atom_site_fract_x
_atom_site_fract_y
_atom_site_fract_z
Hg1 0.000 0.000 0.500
S1 0.500 0.500 0.500
I1 0.000 0.000 0.000
# E_tot, eV/atom: -0.62
# ΔE_f (raw), eV per atom: 0.694
# ΔE to the lowest computed polymorph, eV/atom: 0.645

=====

[7]
# KZr2AsO | Alexandria | PBE-GGA | optimized geometry
data_KZr2AsO
_chemical_formula_sum 'K1 Zr2 As1 O1'
_cell_length_a 5.049
_cell_length_b 5.049
_cell_length_c 6.139
_cell_angle_alpha 90.00
_cell_angle_beta 90.00
_cell_angle_gamma 90.00
_space_group_name_H-M_alt 'P 4/m m m'
_space_group_IT_number 123
_space_group_name_Hall '-P 4 2'
loop_
_atom_site_label
_atom_site_fract_x
_atom_site_fract_y
_atom_site_fract_z
K1 0.000 0.000 0.000
Zr1 0.000 0.500 0.500
As1 0.000 0.000 0.500
O1 0.500 0.500 0.000
# E_tot, eV/atom: -5.01
# ΔE_f (raw), eV per atom: 0.549

=====

[8]
# Tb2In3Ni | Alexandria | PBE-GGA | optimized geometry
data_Tb2In3Ni
_chemical_formula_sum 'Tb16 In24 Ni8'
_cell_length_a 7.151
_cell_length_b 9.509
_cell_length_c 16.628
_cell_angle_alpha 90.00
_cell_angle_beta 90.00
_cell_angle_gamma 90.00
_space_group_name_H-M_alt 'F m m m'
_space_group_IT_number 69
_space_group_name_Hall '-F 2 2'
loop_
_atom_site_label
_atom_site_fract_x
_atom_site_fract_y
_atom_site_fract_z
Tb1 0.249 0.000 0.000
Tb2 0.250 0.250 0.250
In1 0.000 0.000 0.327
In2 0.000 0.235 0.088
Ni1 0.000 0.000 0.170
# E_tot, eV/atom: -4.28
# ΔH_f (0 K), eV/atom: -0.40